Record 1
A relaxed YCuSnTe3 crystal. Source: Alexandria, functional GGA-PBE.

Output
E   -4.66 eV per atom
Formation energy from raw total energies   -661.5 meV/atom
Magnetization   0.0 μB/f.u.

Cell: 9.095 4.263 9.583 Å, 90.00 104.39 90.00°
Space group P2_1/m (No. 11)
Asymmetric unit:
Y  0.175  0.250  0.170 x2
Cu  0.425  0.750  0.427 x2
Sn  0.317  0.750  0.764 x2
Te  0.072  0.250  0.834 x2
Te  0.273  0.250  0.496 x2
Te  0.407  0.750  0.136 x2

***

Record 2
A relaxed YCuSn2Te crystal. Source: Alexandria, functional GGA-PBE.

Output
E   -4.35 eV per atom
Formation energy from raw total energies   -9.3 meV/atom
Magnetization   0.0 μB/f.u.

Cell: 4.971 4.971 5.524 Å, 90.00 90.00 90.00°
Space group P4/mmm (No. 123)
Asymmetric unit:
Y  0.000  0.000  0.000 x1
Cu  0.500  0.500  0.500 x1
Sn  0.000  0.500  0.500 x2
Te  0.500  0.500  0.000 x1